# WCF2 | Alexandria | GGA+U | optimized geometry
# crystal system: trigonal
# energy relative to the lowest polymorph listed for this composition: 2.811 eV per formula unit
# D(E_F): 6.7 states/eV per cell
data_WCF2
_symmetry_space_group_name_H-M 'R -3 m'
_symmetry_Int_Tables_number 166
_symmetry_space_group_name_Hall '-R 3 2"'
_cell_length_a 2.8805
_cell_length_b 2.8805
_cell_length_c 29.6799
_cell_angle_alpha 90.00
_cell_angle_beta 90.00
_cell_angle_gamma 120.00
loop_
_atom_site_label
_atom_site_type_symbol
_atom_site_fract_x
_atom_site_fract_y
_atom_site_fract_z
W1 W 0.0000 0.0000 0.0000
C1 C 0.0000 0.0000 0.5000
F1 F 0.0000 0.0000 0.0631